CdFeCo2: relaxed, PBE.

Cell and atoms, written as POSCAR:
```
CdFeCo2
1.0
-1.854 3.744 7.464
-2.913 1.267 7.942
-0.250 1.723 8.375
Co Cd Fe
2 1 1
Cartesian
-4.965 6.663 23.532 Co
-2.561 3.437 12.139 Co
-3.763 5.050 17.836 Cd
-1.254 1.683 5.945 Fe
```

Summary:
Uncorrected energy in eV/cell: -22.572
Total magnetization in Bohr magnetons per cell: 5.716
Space group: R-3m
ΔH_f (0 K) in eV/f.u.: 1.02